No. 1
DFT (PBE) results for an optimized crystal structure of SrAgIr2.

The calculation puts the formation energy at 0.4906 eV/atom. Its total moment is 0.3 μB/cell. Its space group is No. 65. The density comes out at 12.87 g/cm3.

a = 5.3375 Å, b = 5.3375 Å, c = 2.8867 Å
α = 90.00°, β = 90.00°, γ = 114.49°
Last column: nearest neighbours and their distance in Å.
Fractional positions:
Sr1 0.0000 0.0000 0.0000  2 Sr 2.89, 2 Ag 2.89, 8 Ir 3.03
Ag1 0.5000 0.5000 0.0000  2 Ag 2.89, 2 Sr 2.89, 8 Ir 3.03
Ir1 0.0000 0.5000 0.5000  4 Ir 2.89, 4 Sr 3.03, 4 Ag 3.03
Ir2 0.5000 0.0000 0.5000  4 Ir 2.89, 4 Sr 3.03, 4 Ag 3.03



No. 2
DFT (PBE) results for an optimized crystal structure of POsW4.

The calculation puts the formation energy at 0.9406 eV/atom. Its total moment is 0.0 μB/cell. Its space group is No. 216. The density comes out at 15.84 g/cm3.

a = 5.2146 Å, b = 5.2146 Å, c = 5.2146 Å
α = 60.00°, β = 60.00°, γ = 60.00°
Last column: nearest neighbours and their distance in Å.
Fractional positions:
P1 0.0000 0.0000 0.0000  12 W 3.06, 4 Os 3.19
Os1 0.2500 0.2500 0.2500  12 W 3.06, 4 P 3.19
W1 0.1224 0.6259 0.6259  6 W 2.59-2.63
W2 0.6259 0.1224 0.6259  6 W 2.59-2.63
W3 0.6259 0.6259 0.1224  6 W 2.59-2.63
W4 0.6259 0.6259 0.6259  6 W 2.59-2.63



Question: Number 2 is which compound?
Answer: POsW4



Question: The lowest total moment belongs to which entry?
Answer: POsW4



Question: Which of these has the lowest total moment?
Answer: POsW4



Question: Number 2 is which compound?
Answer: POsW4